[1]
First-principles (PBE) data for an optimized crystal structure of Tl2P2Cl, as listed in the Alexandria database.

a = 3.4923 Å, b = 3.4923 Å, c = 19.9443 Å
α = 90.00°, β = 90.00°, γ = 90.00°
Closest atoms and distances in Å follow each position.
Fractional positions:
1 Tl 0.0000 0.0000 0.1062  4 Cl 3.25, 4 P 3.36, 4 Tl 3.49
2 Tl 0.0000 0.0000 0.8938  4 Cl 3.25, 4 P 3.36, 4 Tl 3.49
3 Tl 0.5000 0.5000 0.3938  4 Cl 3.25, 4 P 3.36, 4 Tl 3.49
4 Tl 0.5000 0.5000 0.6062  4 Cl 3.25, 4 P 3.36, 4 Tl 3.49
5 P 0.0000 0.5000 0.2500  4 P 2.47
6 P 0.0000 0.5000 0.7500  4 P 2.47
7 P 0.5000 0.0000 0.2500  4 P 2.47
8 P 0.5000 0.0000 0.7500  4 P 2.47
9 Cl 0.0000 0.0000 0.5000  8 Tl 3.25, 4 Cl 3.49
10 Cl 0.5000 0.5000 0.0000  8 Tl 3.25, 4 Cl 3.49

Space group: I4/mmm
ΔE_f (raw) (meV per atom): -205
D(E_F) (states/eV/atom): 0.192
VASP energy (eV/atom): -3.685


[2]
First-principles (PBE) data for an optimized crystal structure of HfAg3Sn, as listed in the Alexandria database.

a = 5.0350 Å, b = 5.0350 Å, c = 5.0350 Å
α = 90.00°, β = 90.00°, γ = 90.00°
Closest atoms and distances in Å follow each position.
Fractional positions:
1 Hf 0.0000 0.0000 0.0000  12 Ag 3.56
2 Ag 0.0000 0.5000 0.5000  2 Sn 2.52
3 Ag 0.5000 0.0000 0.5000  2 Sn 2.52
4 Ag 0.5000 0.5000 0.0000  2 Sn 2.52
5 Sn 0.5000 0.5000 0.5000  6 Ag 2.52

Space group: Pm-3m
D(E_F) (states/eV/atom): 0.929
Energy above the most stable polymorph in this dataset (meV per atom): 0.0
VASP energy (eV/atom): -3.542


[3]
First-principles (PBE) data for an optimized crystal structure of ScAlRe, as listed in the Alexandria database.

a = 3.0271 Å, b = 3.0271 Å, c = 6.6299 Å
α = 90.00°, β = 90.00°, γ = 120.00°
Closest atoms and distances in Å follow each position.
Fractional positions:
1 Sc 0.0000 0.0000 0.0000  3 Re 2.78, 6 Sc 3.03, 3 Al 3.04
2 Al 0.6667 0.3333 0.3757  3 Re 2.64
3 Re 0.3333 0.6667 0.6737  3 Al 2.64, 3 Sc 2.78

Space group: P3m1
D(E_F) (states/eV/atom): 1.045
Energy above the most stable polymorph in this dataset (meV per atom): 494.8
VASP energy (eV/atom): -7.448